# PBE+U VSbO4, relaxed
# crystal system	orthorhombic
# raw total energy	-6.804	eV/atom
# total magnetic moment	0.00	Bohr magnetons per cell
data_VSbO4
_symmetry_space_group_name_H-M 'C m m m'
_symmetry_Int_Tables_number 65
_symmetry_space_group_name_Hall '-C 2 2'
_cell_length_a 6.5128
_cell_length_b 6.7185
_cell_length_c 3.1616
_cell_angle_alpha 90.00
_cell_angle_beta 90.00
_cell_angle_gamma 90.00
loop_
_atom_site_label
_atom_site_type_symbol
_atom_site_fract_x
_atom_site_fract_y
_atom_site_fract_z
V1 V 0.0000 0.0000 0.0000
Sb1 Sb 0.0000 0.5000 0.5000
O1 O 0.0000 0.3057 0.0000
O2 O 0.1923 0.0000 0.5000